Sc2Tl3Cl9: optimized geometry, PBE-GGA. Values from VASP.

```
&SYSTEM
  ibrav = 0, nat = 28, ntyp = 3
/
ATOMIC_SPECIES
Sc 44.96 Sc.upf
Tl 204.38 Tl.upf
Cl 35.45 Cl.upf
ATOMIC_POSITIONS angstrom
Sc 0.000 0.000 2.779
Sc 0.000 0.000 6.325
Sc 0.000 0.000 11.884
Sc 0.000 0.000 15.430
Tl -4.257 -0.165 7.587
Tl -1.986 -3.769 10.622
Tl 2.271 -3.604 7.587
Tl -2.271 3.604 10.622
Tl 1.986 3.769 7.587
Tl 4.257 0.165 10.622
Cl -5.272 -1.700 10.468
Cl -1.163 -5.416 7.742
Cl -1.926 0.000 4.552
Cl -1.163 -1.792 7.433
Cl 0.963 -1.668 4.552
Cl -4.108 3.715 7.742
Cl 0.963 1.668 4.552
Cl -0.971 1.904 7.433
Cl -2.134 0.111 10.777
Cl 2.134 -0.111 7.433
Cl 0.971 -1.904 10.777
Cl -0.963 -1.668 13.657
Cl 4.108 -3.715 10.468
Cl -0.963 1.668 13.657
Cl 1.163 1.792 10.777
Cl 1.926 0.000 13.657
Cl 1.163 5.416 10.468
Cl 5.272 1.700 7.742
CELL_PARAMETERS angstrom
6.242 3.604 6.070
-6.242 3.604 6.070
0.000 -7.208 6.070
```

Values from the calculation:
The raw formation energy is -1.658 eV/atom. For the electronic total energy, the calculation gives -4.256 eV per atom. The calculation puts the density of states at the Fermi level at 0.00 states/eV/cell.